No. 1
The following is a GGA-PBE calculation of a geometry-optimized Sm12Tl6Hg structure, from Alexandria via LeMat-Bulk.

a b c (Å): 9.0607 9.0607 9.0607
angles (deg): 107.30 107.30 107.30
With the nearest neighbours (Å) after each atom.
Element x y z (fractional)
1 Sm 0.9202 0.6664 0.5661  3 Tl 3.16-3.28, 1 Sm 3.49
2 Sm 0.5661 0.9202 0.6664  3 Tl 3.16-3.28, 1 Sm 3.49
3 Sm 0.6664 0.5661 0.9202  3 Tl 3.16-3.28, 1 Sm 3.49
4 Sm 0.0798 0.3336 0.4339  3 Tl 3.16-3.28, 1 Sm 3.49
5 Sm 0.4339 0.0798 0.3336  3 Tl 3.16-3.28, 1 Sm 3.49
6 Sm 0.3336 0.4339 0.0798  3 Tl 3.16-3.28, 1 Sm 3.49
7 Sm 0.0312 0.8958 0.3229  3 Tl 3.16-3.36, 1 Hg 3.29, 2 Sm 3.49-3.51
8 Sm 0.1042 0.6771 0.9688  3 Tl 3.16-3.36, 1 Hg 3.29, 2 Sm 3.49-3.51
9 Sm 0.6771 0.9688 0.1042  3 Tl 3.16-3.36, 1 Hg 3.29, 2 Sm 3.49-3.51
10 Sm 0.9688 0.1042 0.6771  3 Tl 3.16-3.36, 1 Hg 3.29, 2 Sm 3.49-3.51
11 Sm 0.8958 0.3229 0.0312  3 Tl 3.16-3.36, 1 Hg 3.29, 2 Sm 3.49-3.51
12 Sm 0.3229 0.0312 0.8958  3 Tl 3.16-3.36, 1 Hg 3.29, 2 Sm 3.49-3.51
13 Tl 0.6534 0.7802 0.3451  6 Sm 3.16-3.36
14 Tl 0.6549 0.3466 0.2198  6 Sm 3.16-3.36
15 Tl 0.2198 0.6549 0.3466  6 Sm 3.16-3.36
16 Tl 0.3466 0.2198 0.6549  6 Sm 3.16-3.36
17 Tl 0.3451 0.6534 0.7802  6 Sm 3.16-3.36
18 Tl 0.7802 0.3451 0.6534  6 Sm 3.16-3.36
19 Hg 0.0000 0.0000 0.0000  6 Sm 3.29

Formation energy from the elements (meV per atom): -88.8

No. 2
The following is a GGA-PBE calculation of a geometry-optimized Sm2TlHg9 structure, from Alexandria via LeMat-Bulk.

a b c (Å): 4.6144 4.6144 14.7382
angles (deg): 90.00 90.00 90.00
With the nearest neighbours (Å) after each atom.
Element x y z (fractional)
1 Sm 0.0000 0.0000 0.3322  12 Hg 3.25-3.38
2 Sm 0.0000 0.0000 0.6678  12 Hg 3.25-3.38
3 Tl 0.0000 0.0000 0.0000  12 Hg 3.26-3.49
4 Hg 0.5000 0.5000 0.0000  4 Tl 3.26, 8 Hg 3.49
5 Hg 0.5000 0.5000 0.3492  8 Hg 3.20-3.43, 4 Sm 3.27
6 Hg 0.5000 0.5000 0.6508  8 Hg 3.20-3.43, 4 Sm 3.27
7 Hg 0.5000 0.0000 0.1773  2 Sm 3.25, 8 Hg 3.26-3.49, 2 Tl 3.49
8 Hg 0.5000 0.0000 0.5000  8 Hg 3.20-3.26, 4 Sm 3.38
9 Hg 0.5000 0.0000 0.8227  2 Sm 3.25, 8 Hg 3.26-3.49, 2 Tl 3.49
10 Hg 0.0000 0.5000 0.1773  2 Sm 3.25, 8 Hg 3.26-3.49, 2 Tl 3.49
11 Hg 0.0000 0.5000 0.5000  8 Hg 3.20-3.26, 4 Sm 3.38
12 Hg 0.0000 0.5000 0.8227  2 Sm 3.25, 8 Hg 3.26-3.49, 2 Tl 3.49

Formation energy from the elements (meV per atom): -235.5

No. 3
The following is a GGA-PBE calculation of a geometry-optimized Sm5Tl4Hg structure, from Alexandria via LeMat-Bulk.

a b c (Å): 3.8259 3.8259 19.5057
angles (deg): 90.00 90.00 90.00
With the nearest neighbours (Å) after each atom.
Element x y z (fractional)
1 Sm 0.5000 0.5000 0.0953  4 Hg 3.28, 4 Tl 3.34
2 Sm 0.5000 0.5000 0.2980  8 Tl 3.35-3.36
3 Sm 0.5000 0.5000 0.5000  8 Tl 3.35
4 Sm 0.5000 0.5000 0.7020  8 Tl 3.35-3.36
5 Sm 0.5000 0.5000 0.9047  4 Hg 3.28, 4 Tl 3.34
6 Tl 0.0000 0.0000 0.1960  8 Sm 3.34-3.36
7 Tl 0.0000 0.0000 0.3991  8 Sm 3.35
8 Tl 0.0000 0.0000 0.6009  8 Sm 3.35
9 Tl 0.0000 0.0000 0.8040  8 Sm 3.34-3.36
10 Hg 0.0000 0.0000 0.0000  8 Sm 3.28

Formation energy from the elements (meV per atom): -397.1

no.,density of states at the Fermi level (states/eV/cell)
1,23.319
2,6.244
3,11.142